First-principles (PBE) data for a geometry-optimized Th4FeTeSe2 structure, as listed in Alexandria.

E_tot: -56.45 eV per cell
Uncorrected formation energy: -1.02 eV/atom
Crystal system: monoclinic

abc: 7.4170 4.0832 7.7138
angles: 90.00 108.00 90.00
Space group P2/m (No. 10)
Unique sites:
Th 0.2140 0.0000 0.2054 [2 per cell]
Th 0.2506 0.5000 0.7789 [2 per cell]
Fe 0.0000 0.5000 0.0000 [1 per cell]
Te 0.0000 0.0000 0.5000 [1 per cell]
Se 0.5000 0.0000 0.0000 [1 per cell]
Se 0.5000 0.5000 0.5000 [1 per cell]